# KCaH6N3

An optimized crystal structure of KCaH6N3 (PBE, Alexandria via LeMat-Bulk).

a = 6.869 Å, b = 11.835 Å, c = 6.666 Å
α = 90.00°, β = 107.77°, γ = 90.00°
Positions (direct):
K 0.240 0.091 0.397
K 0.240 0.409 0.897
K 0.760 0.591 0.103
K 0.760 0.909 0.603
Ca 0.169 0.737 0.916
Ca 0.169 0.763 0.416
Ca 0.831 0.237 0.584
Ca 0.831 0.263 0.084
H 0.043 0.087 0.937
H 0.043 0.413 0.437
H 0.154 0.515 0.232
H 0.154 0.985 0.732
H 0.234 0.164 0.934
H 0.234 0.336 0.434
H 0.354 0.590 0.264
H 0.354 0.910 0.764
H 0.441 0.596 0.668
H 0.441 0.904 0.168
H 0.455 0.214 0.733
H 0.455 0.286 0.233
H 0.545 0.714 0.767
H 0.545 0.786 0.267
H 0.559 0.096 0.832
H 0.559 0.404 0.332
H 0.646 0.090 0.236
H 0.646 0.410 0.736
H 0.766 0.664 0.566
H 0.766 0.836 0.066
H 0.846 0.015 0.268
H 0.846 0.485 0.768
H 0.957 0.587 0.563
H 0.957 0.913 0.063
N 0.084 0.170 0.933
N 0.084 0.330 0.433
N 0.199 0.591 0.188
N 0.199 0.909 0.688
N 0.412 0.668 0.741
N 0.412 0.832 0.241
N 0.588 0.168 0.759
N 0.588 0.332 0.259
N 0.801 0.091 0.312
N 0.801 0.409 0.812
N 0.916 0.670 0.567
N 0.916 0.830 0.067

Computed properties:
Crystal system: monoclinic
N(E_F) in states/eV/atom: 0.000
Space group: P2_1/c
Uncorrected energy in eV for the cell shown: -216.448

---

# KZnP2

An optimized crystal structure of KZnP2 (PBE, Alexandria via LeMat-Bulk).

a = 5.124 Å, b = 5.124 Å, c = 7.208 Å
α = 117.57°, β = 117.57°, γ = 37.84°
Positions (direct):
K 0.000 0.000 0.000
Zn 0.875 0.875 0.428
P 0.163 0.163 0.683
P 0.630 0.630 0.457

Computed properties:
Crystal system: monoclinic
Energy of formation from the pure elements in kJ/mol of formula units: -23
N(E_F) in states/eV/atom: 0.247
Space group: Cm

---

# Zn3AgCl

An optimized crystal structure of Zn3AgCl (PBE, Alexandria via LeMat-Bulk).

a = 4.959 Å, b = 4.959 Å, c = 4.959 Å
α = 90.00°, β = 90.00°, γ = 90.00°
Positions (direct):
Zn 0.000 0.000 0.500
Zn 0.000 0.500 0.000
Zn 0.500 0.000 0.000
Ag 0.500 0.500 0.500
Cl 0.000 0.000 0.000

Computed properties:
Raw formation energy in eV per atom: 0.642
Crystal system: cubic
N(E_F) in states/eV/atom: 0.296
Energy above the lowest structure with this stoichiometry in meV per atom: 542.4
Space group: Pm-3m

---

# TbCePr2Dy

An optimized crystal structure of TbCePr2Dy (PBE, Alexandria via LeMat-Bulk).

a = 6.018 Å, b = 7.343 Å, c = 7.624 Å
α = 90.00°, β = 90.00°, γ = 90.00°
Positions (direct):
Tb 0.250 0.000 0.121
Tb 0.750 0.000 0.879
Ce 0.000 0.000 0.500
Ce 0.500 0.000 0.500
Pr 0.250 0.285 0.815
Pr 0.250 0.715 0.815
Pr 0.750 0.285 0.185
Pr 0.750 0.715 0.185
Dy 0.250 0.500 0.362
Dy 0.750 0.500 0.638

Computed properties:
Crystal system: orthorhombic
Energy of formation from the pure elements in kJ/mol of formula units: 132
N(E_F) in states/eV/atom: 2.189
Space group: Pmma

---

# Pa2GeS

An optimized crystal structure of Pa2GeS (PBE, Alexandria via LeMat-Bulk).

a = 7.716 Å, b = 7.716 Å, c = 7.716 Å
α = 28.52°, β = 28.52°, γ = 28.52°
Positions (direct):
Pa 0.000 0.000 0.000
Pa 0.167 0.167 0.167
Ge 0.583 0.583 0.583
S 0.751 0.751 0.751

Computed properties:
Raw formation energy in eV per atom: -0.840
Crystal system: trigonal
N(E_F) in states/eV/atom: 1.512
Energy above the lowest structure with this stoichiometry in meV per atom: 203.1
Space group: R3m

---

# NdBe4Pt3O12

An optimized crystal structure of NdBe4Pt3O12 (PBE, Alexandria via LeMat-Bulk).

a = 6.334 Å, b = 6.334 Å, c = 6.334 Å
α = 105.01°, β = 105.01°, γ = 105.01°
Positions (direct):
Nd 0.000 0.000 0.000
Be 0.072 0.500 0.928
Be 0.500 0.500 0.500
Be 0.500 0.928 0.072
Be 0.928 0.072 0.500
Pt 0.000 0.565 0.435
Pt 0.435 0.000 0.565
Pt 0.565 0.435 0.000
O 0.040 0.648 0.774
O 0.084 0.916 0.500
O 0.226 0.352 0.960
O 0.346 0.654 0.500
O 0.352 0.960 0.226
O 0.500 0.084 0.916
O 0.500 0.346 0.654
O 0.648 0.774 0.040
O 0.654 0.500 0.346
O 0.774 0.040 0.648
O 0.916 0.500 0.084
O 0.960 0.226 0.352

Computed properties:
Raw formation energy in eV per atom: -1.604
Crystal system: trigonal
N(E_F) in states/eV/atom: 0.734
Space group: R32

---

# KCaCl3

An optimized crystal structure of KCaCl3 (PBE, Alexandria via LeMat-Bulk).

a = 8.114 Å, b = 8.114 Å, c = 8.114 Å
α = 53.41°, β = 53.41°, γ = 53.41°
Positions (direct):
K 0.141 0.141 0.141
K 0.859 0.859 0.859
Ca 0.341 0.341 0.341
Ca 0.659 0.659 0.659
Cl 0.061 0.700 0.465
Cl 0.300 0.535 0.939
Cl 0.465 0.061 0.700
Cl 0.535 0.939 0.300
Cl 0.700 0.465 0.061
Cl 0.939 0.300 0.535

Computed properties:
Raw formation energy in eV per atom: -2.243
Crystal system: trigonal
N(E_F) in states/eV/atom: 0.000
Space group: R-3

---

# Sc2InW

An optimized crystal structure of Sc2InW (PBE, Alexandria via LeMat-Bulk).

a = 10.597 Å, b = 10.597 Å, c = 10.597 Å
α = 157.60°, β = 157.60°, γ = 31.88°
Positions (direct):
Sc 0.111 0.625 0.986
Sc 0.375 0.361 0.486
Sc 0.639 0.125 0.014
Sc 0.875 0.889 0.514
In 0.250 0.750 0.500
In 0.500 0.500 0.000
W 0.000 0.000 0.000
W 0.750 0.250 0.500

Computed properties:
Crystal system: tetragonal
Energy of formation from the pure elements in kJ/mol of formula units: 261
N(E_F) in states/eV/atom: 1.320
Space group: I-42d

---

# SiSbTe

An optimized crystal structure of SiSbTe (PBE, Alexandria via LeMat-Bulk).

a = 10.050 Å, b = 10.050 Å, c = 12.131 Å
α = 123.58°, β = 123.58°, γ = 38.03°
Positions (direct):
Si 0.036 0.964 0.500
Si 0.145 0.237 0.413
Si 0.237 0.145 0.913
Si 0.784 0.893 0.621
Si 0.893 0.784 0.121
Si 0.964 0.036 0.000
Sb 0.139 0.599 0.327
Sb 0.319 0.937 0.044
Sb 0.361 0.951 0.682
Sb 0.599 0.139 0.827
Sb 0.937 0.319 0.544
Sb 0.951 0.361 0.182
Te 0.165 0.777 0.142
Te 0.188 0.513 0.600
Te 0.513 0.188 0.100
Te 0.541 0.844 0.404
Te 0.777 0.165 0.642
Te 0.844 0.541 0.904

Computed properties:
Raw formation energy in eV per atom: 0.190
Crystal system: monoclinic
N(E_F) in states/eV/atom: 0.373
Energy above the lowest structure with this stoichiometry in meV per atom: 12.1
Space group: Cc

---

# Sb11S18

An optimized crystal structure of Sb11S18 (PBE, Alexandria via LeMat-Bulk).

a = 6.928 Å, b = 7.942 Å, c = 15.697 Å
α = 76.87°, β = 84.86°, γ = 72.73°
Positions (direct):
Sb 0.000 0.000 0.000
Sb 0.002 0.716 0.222
Sb 0.084 0.177 0.193
Sb 0.146 0.357 0.698
Sb 0.162 0.872 0.680
Sb 0.337 0.182 0.420
Sb 0.596 0.943 0.820
Sb 0.617 0.459 0.807
Sb 0.696 0.773 0.562
Sb 0.709 0.280 0.558
Sb 0.953 0.522 0.994
S 0.167 0.897 0.298
S 0.210 0.691 0.087
S 0.248 0.166 0.054
S 0.309 0.308 0.256
S 0.340 0.239 0.847
S 0.351 0.755 0.846
S 0.402 0.067 0.630
S 0.410 0.599 0.625
S 0.575 0.369 0.407
S 0.584 0.885 0.410
S 0.690 0.844 0.980
S 0.700 0.360 0.967
S 0.803 0.031 0.141
S 0.809 0.463 0.150
S 0.899 0.631 0.762
S 0.906 0.165 0.750
S 0.942 0.481 0.521
S 0.971 0.991 0.530

Computed properties:
Raw formation energy in eV per atom: -0.165
Crystal system: triclinic
N(E_F) in states/eV/atom: 0.322
Space group: P1

---

# CsPdI2

An optimized crystal structure of CsPdI2 (PBE, Alexandria via LeMat-Bulk).

a = 8.530 Å, b = 8.530 Å, c = 8.530 Å
α = 31.70°, β = 31.70°, γ = 31.70°
Positions (direct):
Cs 0.000 0.000 0.000
Pd 0.500 0.500 0.500
I 0.223 0.223 0.223
I 0.777 0.777 0.777

Computed properties:
Raw formation energy in eV per atom: -0.529
Crystal system: trigonal
N(E_F) in states/eV/atom: 1.004
Energy above the lowest structure with this stoichiometry in meV per atom: 190.1
Space group: R-3m

---

Repeat the first record exactly.
# KCaH6N3

An optimized crystal structure of KCaH6N3 (PBE, Alexandria via LeMat-Bulk).

a = 6.869 Å, b = 11.835 Å, c = 6.666 Å
α = 90.00°, β = 107.77°, γ = 90.00°
Positions (direct):
K 0.240 0.091 0.397
K 0.240 0.409 0.897
K 0.760 0.591 0.103
K 0.760 0.909 0.603
Ca 0.169 0.737 0.916
Ca 0.169 0.763 0.416
Ca 0.831 0.237 0.584
Ca 0.831 0.263 0.084
H 0.043 0.087 0.937
H 0.043 0.413 0.437
H 0.154 0.515 0.232
H 0.154 0.985 0.732
H 0.234 0.164 0.934
H 0.234 0.336 0.434
H 0.354 0.590 0.264
H 0.354 0.910 0.764
H 0.441 0.596 0.668
H 0.441 0.904 0.168
H 0.455 0.214 0.733
H 0.455 0.286 0.233
H 0.545 0.714 0.767
H 0.545 0.786 0.267
H 0.559 0.096 0.832
H 0.559 0.404 0.332
H 0.646 0.090 0.236
H 0.646 0.410 0.736
H 0.766 0.664 0.566
H 0.766 0.836 0.066
H 0.846 0.015 0.268
H 0.846 0.485 0.768
H 0.957 0.587 0.563
H 0.957 0.913 0.063
N 0.084 0.170 0.933
N 0.084 0.330 0.433
N 0.199 0.591 0.188
N 0.199 0.909 0.688
N 0.412 0.668 0.741
N 0.412 0.832 0.241
N 0.588 0.168 0.759
N 0.588 0.332 0.259
N 0.801 0.091 0.312
N 0.801 0.409 0.812
N 0.916 0.670 0.567
N 0.916 0.830 0.067

Computed properties:
Crystal system: monoclinic
N(E_F) in states/eV/atom: 0.000
Space group: P2_1/c
Uncorrected energy in eV for the cell shown: -216.448